DFT (PBE) results for a geometry-optimized YPb2Se2 structure.

Computed properties:
* ΔE to the lowest computed polymorph: 0.0 meV/atom
* symmetry: P4/mbm (127)

Cell: 7.649 7.649 4.953 Å, 90.00 90.00 90.00°
Element x y z (fractional)
1 Pb 0.170 0.670 0.500
2 Pb 0.670 0.830 0.500
3 Pb 0.830 0.330 0.500
4 Pb 0.330 0.170 0.500
5 Y 0.000 0.000 0.000
6 Y 0.500 0.500 0.000
7 Se 0.327 0.827 0.000
8 Se 0.827 0.673 0.000
9 Se 0.673 0.173 0.000
10 Se 0.173 0.327 0.000

DFT (PBE) results for a geometry-optimized LiAlRh2 structure.

Computed properties:
* formation energy from the elements: -1.80 eV per formula unit
* symmetry: I-4m2 (119)

Cell: 4.845 4.845 4.845 Å, 136.04 136.04 63.92°
Element x y z (fractional)
1 Al 0.500 0.500 0.000
2 Li 0.750 0.250 0.500
3 Rh 0.000 0.000 0.000
4 Rh 0.250 0.750 0.500

DFT (PBE) results for a geometry-optimized Pm2GaCu6 structure.

Computed properties:
* formation energy from the elements: -1.91 eV per formula unit
* symmetry: P-3m1 (164)

Cell: 5.753 5.523 5.523 Å, 59.97 90.01 90.01°
Element x y z (fractional)
1 Pm 0.842 0.667 0.667
2 Pm 0.158 0.333 0.333
3 Ga 0.000 0.000 0.000
4 Cu 0.342 0.358 0.821
5 Cu 0.342 0.821 0.821
6 Cu 0.342 0.821 0.358
7 Cu 0.658 0.642 0.179
8 Cu 0.658 0.179 0.179
9 Cu 0.658 0.179 0.642

DFT (PBE) results for a geometry-optimized Co2CuNi structure.

Computed properties:
* formation energy from the elements: 0.24 eV per formula unit
* ΔE to the lowest computed polymorph: 39.2 meV/atom
* symmetry: P2_1/m (11)

Cell: 3.525 3.545 7.957 Å, 90.00 116.42 90.00°
Element x y z (fractional)
1 Co 0.619 0.250 0.119
2 Co 0.381 0.750 0.881
3 Co 0.119 0.750 0.119
4 Co 0.881 0.250 0.881
5 Cu 0.874 0.750 0.374
6 Cu 0.126 0.250 0.626
7 Ni 0.369 0.250 0.369
8 Ni 0.631 0.750 0.631

DFT (PBE) results for a geometry-optimized AcSnHg4 structure.

Computed properties:
* formation energy from the elements: -1.63 eV per formula unit
* ΔE to the lowest computed polymorph: 25.4 meV/atom
* symmetry: Cmc2_1 (36)

Cell: 4.886 7.703 9.343 Å, 90.00 105.16 90.00°
Element x y z (fractional)
1 Ac 0.868 0.729 0.736
2 Ac 0.132 0.229 0.264
3 Sn 0.676 0.932 0.353
4 Sn 0.324 0.432 0.647
5 Hg 0.951 0.139 0.901
6 Hg 0.049 0.639 0.099
7 Hg 0.506 0.869 0.011
8 Hg 0.494 0.369 0.989
9 Hg 0.661 0.522 0.321
10 Hg 0.339 0.022 0.679
11 Hg 0.781 0.242 0.563
12 Hg 0.219 0.742 0.437

no.,uncorrected energy (eV/cell),total magnetization (μB per cell),density of states at the Fermi level (states/eV per cell)
1,-48.902,0.0,3.79
2,-22.160,0.0,2.28
3,-39.020,0.0,5.27
4,-47.703,7.5,8.47
5,-21.895,0.0,5.24